--- P ---
A plane-wave DFT calculation with PBE-GGA was carried out for a relaxed structure of KTl2Tc.

Cell and atoms, written as CIF:
```
data_KTl2Tc
_cell_length_a 5.394
_cell_length_b 5.394
_cell_length_c 5.394
_cell_angle_alpha 60.00
_cell_angle_beta 60.00
_cell_angle_gamma 60.00
_space_group_name_H-M_alt 'P 1'
_space_group_IT_number 1
_space_group_name_Hall 'P 1'
loop_
_atom_site_label
_atom_site_type_symbol
_atom_site_fract_x
_atom_site_fract_y
_atom_site_fract_z
K1 K 0.500 0.500 0.500
Tc1 Tc 0.750 0.750 0.750
Tl1 Tl 0.000 0.000 0.000
Tl2 Tl 0.250 0.250 0.250
```

SG   F-43m, No. 216
Magnetic moment   3.2 μB per cell

--- Q ---
A plane-wave DFT calculation with PBE-GGA was carried out for a relaxed structure of KTl2Tc.

Cell and atoms, written as CIF:
```
data_KTl2Tc
_cell_length_a 11.083
_cell_length_b 11.083
_cell_length_c 11.083
_cell_angle_alpha 17.14
_cell_angle_beta 17.14
_cell_angle_gamma 17.14
_space_group_name_H-M_alt 'P 1'
_space_group_IT_number 1
_space_group_name_Hall 'P 1'
loop_
_atom_site_label
_atom_site_type_symbol
_atom_site_fract_x
_atom_site_fract_y
_atom_site_fract_z
K1 K 0.493 0.493 0.493
Tc1 Tc 0.741 0.741 0.741
Tl1 Tl 0.009 0.009 0.009
Tl2 Tl 0.257 0.257 0.257
```

SG   R3m, No. 160
Magnetic moment   1.3 μB per cell

Which structure loses on stability? P does.

--- P ---
A plane-wave DFT calculation with PBE-GGA was carried out for a relaxed structure of KTl2Tc.

Cell and atoms, written as CIF:
```
data_KTl2Tc
_cell_length_a 3.261
_cell_length_b 3.262
_cell_length_c 9.437
_cell_angle_alpha 90.00
_cell_angle_beta 90.00
_cell_angle_gamma 90.00
_space_group_name_H-M_alt 'P 1'
_space_group_IT_number 1
_space_group_name_Hall 'P 1'
loop_
_atom_site_label
_atom_site_type_symbol
_atom_site_fract_x
_atom_site_fract_y
_atom_site_fract_z
K1 K 0.500 0.500 0.250
Tc1 Tc 0.500 0.500 0.750
Tl1 Tl 0.000 0.000 0.953
Tl2 Tl 0.000 0.000 0.547
```

SG   P4/mmm, No. 123
Magnetic moment   1.5 μB per cell

--- Q ---
A plane-wave DFT calculation with PBE-GGA was carried out for a relaxed structure of KTl2Tc.

Cell and atoms, written as CIF:
```
data_KTl2Tc
_cell_length_a 8.546
_cell_length_b 8.546
_cell_length_c 8.546
_cell_angle_alpha 159.05
_cell_angle_beta 148.31
_cell_angle_gamma 38.30
_space_group_name_H-M_alt 'P 1'
_space_group_IT_number 1
_space_group_name_Hall 'P 1'
loop_
_atom_site_label
_atom_site_type_symbol
_atom_site_fract_x
_atom_site_fract_y
_atom_site_fract_z
K1 K 0.568 0.568 0.000
Tc1 Tc 0.767 0.267 0.500
Tl1 Tl 0.915 0.915 0.000
Tl2 Tl 0.250 0.750 0.500
```

SG   Imm2, No. 44
Magnetic moment   0.0 μB per cell

--- R ---
A plane-wave DFT calculation with PBE-GGA was carried out for a relaxed structure of KTl2Tc.

Cell and atoms, written as CIF:
```
data_KTl2Tc
_cell_length_a 6.016
_cell_length_b 6.016
_cell_length_c 6.016
_cell_angle_alpha 135.55
_cell_angle_beta 135.55
_cell_angle_gamma 64.68
_space_group_name_H-M_alt 'P 1'
_space_group_IT_number 1
_space_group_name_Hall 'P 1'
loop_
_atom_site_label
_atom_site_type_symbol
_atom_site_fract_x
_atom_site_fract_y
_atom_site_fract_z
K1 K 0.500 0.500 0.000
Tc1 Tc 0.750 0.250 0.500
Tl1 Tl 0.000 0.000 0.000
Tl2 Tl 0.250 0.750 0.500
```

SG   I-4m2, No. 119
Magnetic moment   2.4 μB per cell

Which structure loses on stability? R does.

--- P ---
A plane-wave DFT calculation with PBE-GGA was carried out for a relaxed structure of KTl3Tc.

Cell and atoms, written as CIF:
```
data_KTl3Tc
_cell_length_a 5.899
_cell_length_b 5.899
_cell_length_c 5.899
_cell_angle_alpha 90.00
_cell_angle_beta 90.00
_cell_angle_gamma 90.00
_space_group_name_H-M_alt 'P 1'
_space_group_IT_number 1
_space_group_name_Hall 'P 1'
loop_
_atom_site_label
_atom_site_type_symbol
_atom_site_fract_x
_atom_site_fract_y
_atom_site_fract_z
K1 K 0.000 0.000 0.000
Tl1 Tl 0.000 0.500 0.000
Tl2 Tl 0.000 0.000 0.500
Tl3 Tl 0.500 0.000 0.000
Tc1 Tc 0.500 0.500 0.500
```

SG   Pm-3m, No. 221
Magnetic moment   3.3 μB per cell

--- Q ---
A plane-wave DFT calculation with PBE-GGA was carried out for a relaxed structure of KTl3Tc.

Cell and atoms, written as CIF:
```
data_KTl3Tc
_cell_length_a 5.383
_cell_length_b 5.383
_cell_length_c 5.383
_cell_angle_alpha 90.00
_cell_angle_beta 90.00
_cell_angle_gamma 90.00
_space_group_name_H-M_alt 'P 1'
_space_group_IT_number 1
_space_group_name_Hall 'P 1'
loop_
_atom_site_label
_atom_site_type_symbol
_atom_site_fract_x
_atom_site_fract_y
_atom_site_fract_z
K1 K 0.500 0.500 0.500
Tl1 Tl 0.000 0.500 0.000
Tl2 Tl 0.000 0.000 0.500
Tl3 Tl 0.500 0.000 0.000
Tc1 Tc 0.000 0.000 0.000
```

SG   Pm-3m, No. 221
Magnetic moment   0.0 μB per cell

Which structure loses on stability? P does.

--- P ---
A plane-wave DFT calculation with PBE-GGA was carried out for a relaxed structure of KV3Tc.

Cell and atoms, written as CIF:
```
data_KV3Tc
_cell_length_a 4.858
_cell_length_b 4.858
_cell_length_c 4.858
_cell_angle_alpha 90.00
_cell_angle_beta 90.00
_cell_angle_gamma 90.00
_space_group_name_H-M_alt 'P 1'
_space_group_IT_number 1
_space_group_name_Hall 'P 1'
loop_
_atom_site_label
_atom_site_type_symbol
_atom_site_fract_x
_atom_site_fract_y
_atom_site_fract_z
K1 K 0.500 0.500 0.500
Tc1 Tc 0.000 0.000 0.000
V1 V 0.000 0.500 0.000
V2 V 0.000 0.000 0.500
V3 V 0.500 0.000 0.000
```

SG   Pm-3m, No. 221
Magnetic moment   6.9 μB per cell

--- Q ---
A plane-wave DFT calculation with PBE-GGA was carried out for a relaxed structure of KV3Tc.

Cell and atoms, written as CIF:
```
data_KV3Tc
_cell_length_a 4.245
_cell_length_b 4.245
_cell_length_c 4.245
_cell_angle_alpha 90.00
_cell_angle_beta 90.00
_cell_angle_gamma 90.00
_space_group_name_H-M_alt 'P 1'
_space_group_IT_number 1
_space_group_name_Hall 'P 1'
loop_
_atom_site_label
_atom_site_type_symbol
_atom_site_fract_x
_atom_site_fract_y
_atom_site_fract_z
K1 K 0.000 0.000 0.000
Tc1 Tc 0.500 0.500 0.500
V1 V 0.000 0.500 0.000
V2 V 0.000 0.000 0.500
V3 V 0.500 0.000 0.000
```

SG   Pm-3m, No. 221
Magnetic moment   0.0 μB per cell

Which structure loses on stability? Q does.

--- P ---
A plane-wave DFT calculation with PBE-GGA was carried out for a relaxed structure of KV2Tc.

Cell and atoms, written as CIF:
```
data_KV2Tc
_cell_length_a 5.718
_cell_length_b 5.718
_cell_length_c 8.451
_cell_angle_alpha 70.23
_cell_angle_beta 70.23
_cell_angle_gamma 90.00
_space_group_name_H-M_alt 'P 1'
_space_group_IT_number 1
_space_group_name_Hall 'P 1'
loop_
_atom_site_label
_atom_site_type_symbol
_atom_site_fract_x
_atom_site_fract_y
_atom_site_fract_z
K1 K 0.500 0.500 0.000
K2 K 0.250 0.750 0.500
Tc1 Tc 0.000 0.000 0.000
Tc2 Tc 0.750 0.250 0.500
V1 V 0.875 0.125 0.250
V2 V 0.875 0.625 0.250
V3 V 0.375 0.125 0.750
V4 V 0.875 0.125 0.750
```

SG   I4_1/amd, No. 141
Magnetic moment   9.6 μB per cell

--- Q ---
A plane-wave DFT calculation with PBE-GGA was carried out for a relaxed structure of KV2Tc.

Cell and atoms, written as CIF:
```
data_KV2Tc
_cell_length_a 4.672
_cell_length_b 4.672
_cell_length_c 4.672
_cell_angle_alpha 60.00
_cell_angle_beta 60.00
_cell_angle_gamma 60.00
_space_group_name_H-M_alt 'P 1'
_space_group_IT_number 1
_space_group_name_Hall 'P 1'
loop_
_atom_site_label
_atom_site_type_symbol
_atom_site_fract_x
_atom_site_fract_y
_atom_site_fract_z
K1 K 0.000 0.000 0.000
Tc1 Tc 0.500 0.500 0.500
V1 V 0.250 0.250 0.250
V2 V 0.750 0.750 0.750
```

SG   Fm-3m, No. 225
Magnetic moment   4.0 μB per cell

Which structure loses on stability? P does.

--- P ---
A plane-wave DFT calculation with PBE-GGA was carried out for a relaxed structure of KTc2W.

Cell and atoms, written as CIF:
```
data_KTc2W
_cell_length_a 4.587
_cell_length_b 4.587
_cell_length_c 4.587
_cell_angle_alpha 60.00
_cell_angle_beta 60.00
_cell_angle_gamma 60.00
_space_group_name_H-M_alt 'P 1'
_space_group_IT_number 1
_space_group_name_Hall 'P 1'
loop_
_atom_site_label
_atom_site_type_symbol
_atom_site_fract_x
_atom_site_fract_y
_atom_site_fract_z
K1 K 0.000 0.000 0.000
Tc1 Tc 0.250 0.250 0.250
Tc2 Tc 0.750 0.750 0.750
W1 W 0.500 0.500 0.500
```

SG   Fm-3m, No. 225
Magnetic moment   0.0 μB per cell

--- Q ---
A plane-wave DFT calculation with PBE-GGA was carried out for a relaxed structure of KTc2W.

Cell and atoms, written as CIF:
```
data_KTc2W
_cell_length_a 2.787
_cell_length_b 2.787
_cell_length_c 10.178
_cell_angle_alpha 90.00
_cell_angle_beta 90.00
_cell_angle_gamma 111.23
_space_group_name_H-M_alt 'P 1'
_space_group_IT_number 1
_space_group_name_Hall 'P 1'
loop_
_atom_site_label
_atom_site_type_symbol
_atom_site_fract_x
_atom_site_fract_y
_atom_site_fract_z
K1 K 0.500 0.500 0.750
Tc1 Tc 0.000 0.000 0.045
Tc2 Tc 0.000 0.000 0.455
W1 W 0.500 0.500 0.250
```

SG   Cmmm, No. 65
Magnetic moment   0.0 μB per cell

--- R ---
A plane-wave DFT calculation with PBE-GGA was carried out for a relaxed structure of KTc2W.

Cell and atoms, written as CIF:
```
data_KTc2W
_cell_length_a 6.124
_cell_length_b 6.124
_cell_length_c 6.124
_cell_angle_alpha 154.76
_cell_angle_beta 128.64
_cell_angle_gamma 58.07
_space_group_name_H-M_alt 'P 1'
_space_group_IT_number 1
_space_group_name_Hall 'P 1'
loop_
_atom_site_label
_atom_site_type_symbol
_atom_site_fract_x
_atom_site_fract_y
_atom_site_fract_z
K1 K 0.246 0.746 0.500
Tc1 Tc 0.962 0.962 0.000
Tc2 Tc 0.755 0.255 0.500
W1 W 0.538 0.538 0.000
```

SG   Imm2, No. 44
Magnetic moment   0.2 μB per cell

Which structure loses on stability? P does.